[1]
The following is a DFT calculation (PBE) of a relaxed structure of PrSmHoCd.

The structure in POSCAR format:
```
PrSmHoCd
1.0
0.000 3.923 3.923
3.923 0.000 3.923
3.923 3.923 0.000
Pr Sm Ho Cd
1 1 1 1
Direct
0.000 0.000 0.000 Pr
0.500 0.500 0.500 Sm
0.250 0.250 0.250 Ho
0.750 0.750 0.750 Cd
```

* energy of formation from the pure elements: -0.04 eV/atom
* E above lowest polymorph: 107.6 meV per atom


[2]
The following is a DFT calculation (PBE) of a relaxed structure of BeP2Pt.

The structure in POSCAR format:
```
BeP2Pt
1.0
3.149 0.000 0.000
0.000 3.659 0.000
0.000 0.000 4.788
Be P Pt
1 2 1
Direct
0.000 0.000 0.000 Be
0.000 0.500 0.500 P
0.500 0.000 0.500 P
0.500 0.500 0.000 Pt
```

* energy of formation from the pure elements: 0.27 eV/atom


[3]
The following is a DFT calculation (PBE) of a relaxed structure of IrOs2W.

The structure in POSCAR format:
```
IrOs2W
1.0
-1.947 1.947 3.898
1.947 -1.947 3.898
1.947 1.947 -3.898
Ir Os W
1 2 1
Direct
0.000 0.000 0.000 Ir
0.250 0.750 0.500 Os
0.500 0.500 0.000 Os
0.750 0.250 0.500 W
```

* energy of formation from the pure elements: -0.08 eV/atom
* E above lowest polymorph: 46.1 meV per atom


[4]
The following is a DFT calculation (PBE) of a relaxed structure of Pr2Ru2C3.

The structure in POSCAR format:
```
Pr2Ru2C3
1.0
5.906 -1.772 0.000
5.906 1.772 0.000
-2.595 0.000 5.215
Pr Ru C
2 2 3
Direct
0.105 0.105 0.315 Pr
0.895 0.895 0.685 Pr
0.338 0.338 0.180 Ru
0.662 0.662 0.820 Ru
0.246 0.246 0.781 C
0.500 0.500 0.500 C
0.754 0.754 0.219 C
```

* energy of formation from the pure elements: -0.10 eV/atom


[5]
The following is a DFT calculation (PBE) of a relaxed structure of CsCdPb2.

The structure in POSCAR format:
```
CsCdPb2
1.0
2.593 -9.753 0.000
2.593 9.753 0.000
-2.562 0.000 6.704
Cs Cd Pb
2 2 4
Direct
0.065 0.935 0.750 Cs
0.935 0.065 0.250 Cs
0.272 0.728 0.250 Cd
0.728 0.272 0.750 Cd
0.182 0.454 0.879 Pb
0.454 0.182 0.379 Pb
0.546 0.818 0.621 Pb
0.818 0.546 0.121 Pb
```

* energy of formation from the pure elements: -0.01 eV/atom


[6]
The following is a DFT calculation (PBE) of a relaxed structure of ZrBeH4.

The structure in POSCAR format:
```
ZrBeH4
1.0
3.615 0.000 0.000
1.517 5.136 0.000
1.041 2.184 4.853
Zr Be H
2 2 8
Direct
0.231 0.316 0.300 Zr
0.769 0.684 0.700 Zr
0.452 0.215 0.827 Be
0.548 0.785 0.173 Be
0.078 0.305 0.687 H
0.237 0.897 0.591 H
0.240 0.062 0.107 H
0.362 0.683 0.021 H
0.638 0.317 0.979 H
0.760 0.938 0.893 H
0.763 0.103 0.409 H
0.922 0.695 0.313 H
```


[7]
The following is a DFT calculation (PBE) of a relaxed structure of CoReW2.

The structure in POSCAR format:
```
CoReW2
1.0
-1.904 1.904 8.812
1.904 -1.904 8.812
1.904 1.904 -8.812
Co Re W
2 2 4
Direct
0.000 0.000 0.000 Co
0.750 0.250 0.500 Co
0.250 0.750 0.500 Re
0.500 0.500 0.000 Re
0.111 0.625 0.986 W
0.375 0.361 0.486 W
0.639 0.125 0.014 W
0.875 0.889 0.514 W
```

* energy of formation from the pure elements: 0.98 eV/atom
* E above lowest polymorph: 853.2 meV per atom


[8]
The following is a DFT calculation (PBE) of a relaxed structure of NdDyGa2Pt5.

The structure in POSCAR format:
```
NdDyGa2Pt5
1.0
4.223 0.000 0.000
0.000 4.223 0.000
0.000 0.000 9.378
Nd Dy Ga Pt
1 1 2 5
Direct
0.000 0.000 0.000 Nd
0.000 0.000 0.500 Dy
0.500 0.500 0.370 Ga
0.500 0.500 0.630 Ga
0.000 0.500 0.230 Pt
0.000 0.500 0.770 Pt
0.500 0.000 0.230 Pt
0.500 0.000 0.770 Pt
0.500 0.500 0.000 Pt
```

* energy of formation from the pure elements: -0.90 eV/atom


[9]
The following is a DFT calculation (PBE) of a relaxed structure of NaLiZn.

The structure in POSCAR format:
```
NaLiZn
1.0
3.753 -2.173 0.000
3.753 2.173 0.000
-0.013 0.000 8.760
Na Li Zn
2 2 2
Direct
0.167 0.167 0.354 Na
0.833 0.833 0.646 Na
0.498 0.501 0.853 Li
0.499 0.502 0.147 Li
0.166 0.169 0.984 Zn
0.831 0.834 0.016 Zn
```

* energy of formation from the pure elements: -0.04 eV/atom
* E above lowest polymorph: 0.0 meV per atom


[10]
The following is a DFT calculation (PBE) of a relaxed structure of RbReBi2.

The structure in POSCAR format:
```
RbReBi2
1.0
-3.691 3.691 7.165
3.691 -3.691 7.165
3.691 3.691 -7.165
Rb Re Bi
2 2 4
Direct
0.000 0.000 0.000 Rb
0.750 0.250 0.500 Rb
0.250 0.750 0.500 Re
0.500 0.500 0.000 Re
0.369 0.125 0.744 Bi
0.375 0.631 0.756 Bi
0.381 0.625 0.256 Bi
0.875 0.619 0.244 Bi
```

* energy of formation from the pure elements: 0.61 eV/atom
* E above lowest polymorph: 0.0 meV per atom


[11]
The following is a DFT calculation (PBE) of a relaxed structure of Rb2Mg3PaF12.

The structure in POSCAR format:
```
Rb2Mg3PaF12
1.0
3.752 2.166 5.771
-3.752 2.166 5.771
0.000 -4.332 5.771
Rb Mg Pa F
2 3 1 12
Direct
0.107 0.107 0.107 Rb
0.893 0.893 0.893 Rb
0.000 0.500 0.500 Mg
0.500 0.000 0.500 Mg
0.500 0.500 0.000 Mg
0.500 0.500 0.500 Pa
0.126 0.615 0.615 F
0.222 0.222 0.595 F
0.222 0.595 0.222 F
0.385 0.385 0.874 F
0.385 0.874 0.385 F
0.405 0.778 0.778 F
0.595 0.222 0.222 F
0.615 0.126 0.615 F
0.615 0.615 0.126 F
0.778 0.405 0.778 F
0.778 0.778 0.405 F
0.874 0.385 0.385 F
```


[12]
The following is a DFT calculation (PBE) of a relaxed structure of YNbPdW2.

The structure in POSCAR format:
```
YNbPdW2
1.0
4.781 0.000 0.000
0.000 4.781 0.000
0.000 0.000 4.836
Y Nb Pd W
1 1 1 2
Direct
0.000 0.000 0.000 Y
0.000 0.000 0.500 Nb
0.500 0.500 0.500 Pd
0.000 0.500 0.000 W
0.500 0.000 0.000 W
```

* energy of formation from the pure elements: 2.70 eV/atom


[13]
The following is a DFT calculation (PBE) of a relaxed structure of TiHOsRu2.

The structure in POSCAR format:
```
TiHOsRu2
1.0
3.923 0.000 0.000
0.000 3.923 0.000
0.000 0.000 3.898
Ti H Os Ru
1 1 1 2
Direct
0.000 0.000 0.000 Ti
0.500 0.500 0.500 H
0.500 0.500 0.000 Os
0.000 0.500 0.500 Ru
0.500 0.000 0.500 Ru
```

* E above lowest polymorph: 47.2 meV per atom


[14]
The following is a DFT calculation (PBE) of a relaxed structure of NpMn4Nb.

The structure in POSCAR format:
```
NpMn4Nb
1.0
0.000 3.485 3.485
3.485 0.000 3.485
3.485 3.485 0.000
Np Mn Nb
1 4 1
Direct
0.000 0.000 0.000 Np
0.375 0.375 0.375 Mn
0.375 0.375 0.874 Mn
0.375 0.874 0.375 Mn
0.874 0.375 0.375 Mn
0.750 0.750 0.750 Nb
```

* energy of formation from the pure elements: 0.16 eV/atom


[15]
The following is a DFT calculation (PBE) of a relaxed structure of NbSi2S.

The structure in POSCAR format:
```
NbSi2S
1.0
-3.520 3.520 2.570
3.520 -3.520 2.570
3.520 3.520 -2.570
Nb Si S
2 4 2
Direct
0.000 0.000 0.000 Nb
0.750 0.250 0.500 Nb
0.141 0.625 0.016 Si
0.375 0.391 0.516 Si
0.609 0.125 0.984 Si
0.875 0.859 0.484 Si
0.250 0.750 0.500 S
0.500 0.500 0.000 S
```


[16]
The following is a DFT calculation (PBE) of a relaxed structure of Sr2Ca8Cd.

The structure in POSCAR format:
```
Sr2Ca8Cd
1.0
10.101 -3.028 0.000
10.101 3.028 0.000
-0.606 0.000 7.519
Sr Ca Cd
2 8 1
Direct
0.221 0.221 0.156 Sr
0.779 0.779 0.844 Sr
0.030 0.030 0.257 Ca
0.153 0.153 0.667 Ca
0.348 0.348 0.604 Ca
0.416 0.416 0.096 Ca
0.584 0.584 0.904 Ca
0.652 0.652 0.396 Ca
0.847 0.847 0.333 Ca
0.970 0.970 0.743 Ca
0.500 0.500 0.500 Cd
```

* energy of formation from the pure elements: -0.02 eV/atom


[17]
The following is a DFT calculation (PBE) of a relaxed structure of Yb3Nd.

The structure in POSCAR format:
```
Yb3Nd
1.0
0.000 4.114 4.114
4.114 0.000 4.114
4.114 4.114 0.000
Yb Nd
3 1
Direct
0.000 0.000 0.000 Yb
0.250 0.250 0.250 Yb
0.750 0.750 0.750 Yb
0.500 0.500 0.500 Nd
```

* energy of formation from the pure elements: -0.08 eV/atom


[18]
The following is a DFT calculation (PBE) of a relaxed structure of CePrTl2.

The structure in POSCAR format:
```
CePrTl2
1.0
1.917 1.107 10.091
-1.917 1.107 10.091
0.000 -2.213 10.091
Ce Pr Tl
1 1 2
Direct
0.000 0.000 0.000 Ce
0.500 0.500 0.500 Pr
0.250 0.250 0.250 Tl
0.750 0.750 0.750 Tl
```

* energy of formation from the pure elements: -0.16 eV/atom


[19]
The following is a DFT calculation (PBE) of a relaxed structure of SrEr2UO8.

The structure in POSCAR format:
```
SrEr2UO8
1.0
3.846 0.000 0.000
0.000 5.293 0.000
0.000 0.000 7.961
Sr Er U O
1 2 1 8
Direct
0.000 0.000 0.000 Sr
0.500 0.500 0.281 Er
0.500 0.500 0.719 Er
0.000 0.000 0.500 U
0.000 0.244 0.283 O
0.000 0.244 0.717 O
0.000 0.756 0.283 O
0.000 0.756 0.717 O
0.500 0.236 0.500 O
0.500 0.356 0.000 O
0.500 0.644 0.000 O
0.500 0.764 0.500 O
```


[20]
The following is a DFT calculation (PBE) of a relaxed structure of HoNi4Ru.

The structure in POSCAR format:
```
HoNi4Ru
1.0
0.000 3.444 3.444
3.444 0.000 3.444
3.444 3.444 0.000
Ho Ni Ru
1 4 1
Direct
0.000 0.000 0.000 Ho
0.127 0.624 0.624 Ni
0.624 0.127 0.624 Ni
0.624 0.624 0.127 Ni
0.624 0.624 0.624 Ni
0.250 0.250 0.250 Ru
```

* energy of formation from the pure elements: -0.14 eV/atom


| no. | final energy (eV/atom) |
| --- | --- |
| 1 | -3.790 |
| 2 | -4.878 |
| 3 | -11.145 |
| 4 | -8.068 |
| 5 | -2.309 |
| 6 | -4.480 |
| 7 | -10.388 |
| 8 | -5.969 |
| 9 | -1.542 |
| 10 | -4.685 |
| 11 | -5.591 |
| 12 | -6.826 |
| 13 | -8.341 |
| 14 | -9.787 |
| 15 | -6.025 |
| 16 | -1.866 |
| 17 | -2.413 |
| 18 | -4.023 |
| 19 | -8.182 |
| 20 | -6.303 |